Entry 1:
Material: YMg2In
Method: DFT, GGA-PBE
State: optimized geometry

Properties
The calculation puts the total energy at -3.2865 eV/atom. The size of the total moment comes out at 0.4 μB/cell.

Cell lengths 3.6005, 3.6005, 7.6766 Å; angles 90.00, 90.00, 90.00 degrees
Last column: magnetic moment on the atom in μB.
Sites, in units of the cell vectors:
Mg  0.0000  0.0000  0.9986  0.00
Mg  0.5000  0.5000  0.2214  0.00
In  0.5000  0.5000  0.7769  0.00
Y  0.0000  0.0000  0.5030  0.21

=====

Entry 2:
Material: Tl3Tc
Method: DFT, GGA-PBE
State: optimized geometry

Properties
The value obtained for the energy relative to the lowest polymorph listed for this composition is 344 meV/atom. The calculation puts the total energy at -3.6246 eV/atom. The size of the total moment comes out at 2.5 μB/cell.

Cell lengths 5.6170, 5.6170, 3.2514 Å; angles 90.00, 90.00, 110.12 degrees
Last column: magnetic moment on the atom in μB.
Sites, in units of the cell vectors:
Tc  0.0000  0.0000  0.0000  2.28
Tl  0.5000  0.5000  0.0000  0.02
Tl  0.5000  0.0000  0.5000  -0.01
Tl  0.0000  0.5000  0.5000  -0.01

=====

Entry 3:
Material: Tl3Cd2Sn2
Method: DFT, GGA-PBE
State: optimized geometry

Properties
The calculation puts the total energy at -2.3642 eV/atom. The size of the total moment comes out at 0.0 μB/cell.

Cell lengths 5.3813, 5.3813, 8.8686 Å; angles 86.78, 108.84, 124.09 degrees
Sites, in units of the cell vectors:
Sn  0.8375  0.4057  0.2432
Sn  0.1625  0.5943  0.7568
Cd  0.4427  0.7130  0.1557
Cd  0.5573  0.2870  0.8443
Tl  0.2827  0.1343  0.4170
Tl  0.0000  0.0000  0.0000
Tl  0.7173  0.8657  0.5830

=====

Entry 4:
Material: Zn2InNi
Method: DFT, GGA-PBE
State: optimized geometry

Properties
The calculation puts the total energy at -2.7691 eV/atom. The size of the total moment comes out at 0.0 μB/cell.

Cell lengths 4.7926, 4.7926, 4.7926 Å; angles 130.93, 130.99, 71.88 degrees
Sites, in units of the cell vectors:
In  0.5001  0.5001  0.0000
Zn  0.9998  0.9998  0.0000
Zn  0.7498  0.2498  0.5000
Ni  0.2503  0.7503  0.5000

=====

Entry 5:
Material: MgNi8Rh6
Method: DFT, GGA-PBE
State: optimized geometry

Properties
The calculation puts the total energy at -5.9750 eV/atom. The size of the total moment comes out at 7.0 μB/cell.

Cell lengths 6.2286, 6.2286, 6.2286 Å; angles 68.74, 68.74, 68.74 degrees
Last column: magnetic moment on the atom in μB.
Sites, in units of the cell vectors:
Rh  0.4060  0.8422  0.6766  0.33
Rh  0.1578  0.3234  0.5940  0.33
Rh  0.3234  0.5940  0.1578  0.33
Rh  0.5940  0.1578  0.3234  0.33
Rh  0.6766  0.4060  0.8422  0.33
Rh  0.8422  0.6766  0.4060  0.33
Ni  0.8537  0.1807  0.5364  0.65
Ni  0.7894  0.7894  0.7894  0.68
Ni  0.1807  0.5364  0.8537  0.65
Ni  0.2106  0.2106  0.2106  0.68
Ni  0.8193  0.4636  0.1463  0.65
Ni  0.1463  0.8193  0.4636  0.65
Ni  0.5364  0.8537  0.1807  0.65
Ni  0.4636  0.1463  0.8193  0.65
Mg  0.0000  0.0000  0.0000  0.00

=====

Entry 6:
Material: NbSIN2
Method: DFT, GGA-PBE
State: optimized geometry

Properties
The value obtained for the energy relative to the lowest polymorph listed for this composition is 139 meV/atom. The uncorrected formation energy comes out at 0.653 eV per atom. The calculation puts the total energy at -5.8262 eV/atom. The size of the total moment comes out at 0.7 μB/cell.

Cell lengths 4.0050, 4.0050, 6.2171 Å; angles 90.00, 90.00, 90.00 degrees
Last column: magnetic moment on the atom in μB.
Sites, in units of the cell vectors:
I  0.0000  0.0000  0.5000  0.01
N  0.5000  0.0000  0.0000  0.28
N  0.0000  0.5000  0.0000  0.28
Nb  0.0000  0.0000  0.0000  -0.09
S  0.5000  0.5000  0.5000  0.03

=====

Entry 7:
Material: MnOsW2
Method: DFT, GGA-PBE
State: optimized geometry

Properties
The value obtained for the energy relative to the lowest polymorph listed for this composition is 134 meV/atom. The calculation puts the total energy at -11.3353 eV/atom. The size of the total moment comes out at 1.0 μB/cell.

Cell lengths 2.7117, 2.7117, 8.4781 Å; angles 90.00, 90.00, 109.33 degrees
Last column: magnetic moment on the atom in μB.
Sites, in units of the cell vectors:
Os  0.5000  0.5000  0.7500  -0.32
W  0.0000  0.0000  0.4891  -0.13
W  0.0000  0.0000  0.0109  -0.13
Mn  0.5000  0.5000  0.2500  1.59

=====

Entry 8:
Material: Cs2TmTh2Te6
Method: DFT, GGA-PBE
State: optimized geometry

Properties
The uncorrected formation energy comes out at -1.268 eV per atom. The calculation puts the total energy at -4.8929 eV/atom. The size of the total moment comes out at 0.0 μB/cell.

Cell lengths 7.7268, 7.7268, 9.6326 Å; angles 97.86, 97.86, 119.84 degrees
Sites, in units of the cell vectors:
Te  0.7388  0.7388  0.6930
Te  0.0684  0.3918  0.6937
Te  0.3918  0.0684  0.6937
Te  0.2612  0.2612  0.3070
Te  0.9316  0.6082  0.3063
Te  0.6082  0.9316  0.3063
Th  0.3329  0.6671  0.5000
Th  0.6671  0.3329  0.5000
Tm  0.0000  0.0000  0.5000
Cs  0.1689  0.8311  0.0000
Cs  0.8311  0.1689  0.0000

=====

Entry 9:
Material: IrOs3
Method: DFT, GGA-PBE
State: optimized geometry

Properties
The calculation puts the total energy at -10.0489 eV/atom. The size of the total moment comes out at 0.0 μB/cell.

Cell lengths 4.9176, 4.9176, 4.9176 Å; angles 90.00, 90.00, 90.00 degrees
Sites, in units of the cell vectors:
Os  0.2500  0.5000  0.0000
Os  0.0000  0.2500  0.5000
Os  0.5000  0.0000  0.2500
Os  0.0000  0.7500  0.5000
Os  0.5000  0.0000  0.7500
Os  0.7500  0.5000  0.0000
Ir  0.0000  0.0000  0.0000
Ir  0.5000  0.5000  0.5000

=====

Entry 10:
Material: TlCdPd
Method: DFT, GGA-PBE
State: optimized geometry

Properties
The calculation puts the total energy at -2.9567 eV/atom. The size of the total moment comes out at 0.0 μB/cell.

Cell lengths 3.3228, 3.3228, 6.2349 Å; angles 105.45, 105.45, 90.00 degrees
Sites, in units of the cell vectors:
Pd  0.6743  0.6743  0.3486
Tl  0.0144  0.0144  0.0288
Cd  0.3113  0.3113  0.6226

=====

Entry 11:
Material: BeTl3
Method: DFT, GGA-PBE
State: optimized geometry

Properties
The value obtained for the energy relative to the lowest polymorph listed for this composition is 93 meV/atom. The calculation puts the total energy at -2.2943 eV/atom. The size of the total moment comes out at 0.0 μB/cell.

Cell lengths 3.5751, 3.5751, 9.3201 Å; angles 90.00, 90.00, 120.00 degrees
Sites, in units of the cell vectors:
Tl  0.6667  0.3333  0.8051
Tl  0.0000  0.0000  0.5000
Tl  0.6667  0.3333  0.1949
Be  0.0000  0.0000  0.0000